P.
Computed, not measured: a geometry-optimized LiMo structure at the PBE level of DFT.

a = 4.1413 Å, b = 4.1413 Å, c = 9.4267 Å
α = 90.00°, β = 90.00°, γ = 120.00°
Closest atoms and distances in Å follow each position.
Fractional coordinates of all 8 atoms:
Li1 0.3333 0.6667 0.4407  3 Li 2.64, 1 Mo 2.92
Li2 0.6667 0.3333 0.5593  3 Li 2.64, 1 Mo 2.92
Li3 0.6667 0.3333 0.9407  3 Li 2.64, 1 Mo 2.92
Li4 0.3333 0.6667 0.0593  3 Li 2.64, 1 Mo 2.92
Mo1 0.0000 0.0000 0.7500  3 Mo 2.39
Mo2 0.0000 0.0000 0.2500  3 Mo 2.39
Mo3 0.3333 0.6667 0.7500  3 Mo 2.39
Mo4 0.6667 0.3333 0.2500  3 Mo 2.39

Properties
* SG: P6_3/mmc (194)
* magnetization: 0.0 μB/cell
* crystal system: hexagonal

---

Q.
Computed, not measured: a geometry-optimized LiMo structure at the PBE level of DFT.

a = 2.9919 Å, b = 2.9919 Å, c = 2.9919 Å
α = 90.00°, β = 90.00°, γ = 90.00°
Closest atoms and distances in Å follow each position.
Fractional coordinates of all 2 atoms:
Mo1 0.5000 0.5000 0.5000  8 Li 2.59
Li1 0.0000 0.0000 0.0000  8 Mo 2.59

Properties
* SG: Pm-3m (221)
* magnetization: 0.0 μB/cell
* crystal system: cubic

---

R.
Computed, not measured: a geometry-optimized LiMo structure at the PBE level of DFT.

a = 10.1277 Å, b = 10.1277 Å, c = 10.1277 Å
α = 15.53°, β = 15.53°, γ = 15.53°
Closest atoms and distances in Å follow each position.
Fractional coordinates of all 4 atoms:
Li1 0.7524 0.7524 0.7524  6 Li 2.74, 3 Mo 2.92
Li2 0.9976 0.9976 0.9976  6 Li 2.74, 3 Mo 2.92
Mo1 0.5010 0.5010 0.5010  9 Mo 2.74-2.91, 3 Li 2.92
Mo2 0.2490 0.2490 0.2490  9 Mo 2.74-2.91, 3 Li 2.92

Properties
* SG: R-3m (166)
* magnetization: 0.0 μB/cell
* crystal system: trigonal

---

List of relative energies, unit eV/atom: P 0.355; Q 0.541; R 0.000

---

P.
Computed, not measured: a geometry-optimized LiMo structure at the PBE level of DFT.

a = 2.7396 Å, b = 2.7396 Å, c = 10.0361 Å
α = 90.00°, β = 90.00°, γ = 120.00°
Closest atoms and distances in Å follow each position.
Fractional coordinates of all 4 atoms:
Li1 0.0000 0.0000 0.9941  9 Li 2.74-3.07, 3 Mo 2.94
Li2 0.6667 0.3333 0.2559  9 Li 2.74-3.07, 3 Mo 2.94
Mo1 0.0000 0.0000 0.5034  9 Mo 2.74-2.91, 3 Li 2.94
Mo2 0.6667 0.3333 0.7466  9 Mo 2.74-2.91, 3 Li 2.94

Properties
* SG: P-3m1 (164)
* magnetization: 0.0 μB/cell
* crystal system: trigonal

---

Q.
Computed, not measured: a geometry-optimized LiMo structure at the PBE level of DFT.

a = 2.5540 Å, b = 2.5540 Å, c = 4.8866 Å
α = 90.00°, β = 90.00°, γ = 105.45°
Closest atoms and distances in Å follow each position.
Fractional coordinates of all 2 atoms:
Mo1 0.5000 0.5000 0.5000  4 Mo 2.55
Li1 0.0000 0.0000 0.0000  4 Li 2.55

Properties
* SG: Cmmm (65)
* magnetization: 0.0 μB/cell
* crystal system: orthorhombic

---

List of relative energies, unit eV/atom: P 0.000; Q 0.054

---

P.
Computed, not measured: a geometry-optimized Li2Mo2N structure at the PBE level of DFT.

a = 3.4242 Å, b = 3.4242 Å, c = 7.3668 Å
α = 76.56°, β = 76.56°, γ = 90.00°
Closest atoms and distances in Å follow each position.
Fractional coordinates of all 5 atoms:
Mo1 0.7500 0.2500 0.5000  4 Mo 2.42
Mo2 0.2500 0.7500 0.5000  4 Mo 2.42
Li1 0.5749 0.5749 0.8502  1 Li 2.08
Li2 0.4251 0.4251 0.1498  1 Li 2.08
N1 0.0000 0.0000 0.0000  8 Li 2.64

Properties
* SG: I4/mmm (139)
* magnetization: 0.0 μB/cell
* crystal system: tetragonal

---

Q.
Computed, not measured: a geometry-optimized Li2Mo2N structure at the PBE level of DFT.

a = 5.0866 Å, b = 5.0866 Å, c = 4.8204 Å
α = 90.00°, β = 90.00°, γ = 90.00°
Closest atoms and distances in Å follow each position.
Fractional coordinates of all 10 atoms:
Mo1 0.8031 0.3031 0.5000  5 Mo 2.60-2.83, 2 Li 2.63
Mo2 0.1969 0.6969 0.5000  5 Mo 2.60-2.83, 2 Li 2.63
Mo3 0.6969 0.8031 0.5000  5 Mo 2.60-2.83, 2 Li 2.63
Mo4 0.3031 0.1969 0.5000  5 Mo 2.60-2.83, 2 Li 2.63
N1 0.5000 0.5000 0.0000  4 Li 1.92
N2 0.0000 0.0000 0.0000  4 Li 1.92
Li1 0.1560 0.3440 0.0000  2 N 1.92
Li2 0.8440 0.6560 0.0000  2 N 1.92
Li3 0.6560 0.1560 0.0000  2 N 1.92
Li4 0.3440 0.8440 0.0000  2 N 1.92

Properties
* SG: P4/mbm (127)
* magnetization: 0.0 μB/cell
* crystal system: tetragonal

---

List of relative energies, unit eV/atom: P 0.490; Q 0.000

---

P.
Computed, not measured: a geometry-optimized Li3MoN structure at the PBE level of DFT.

a = 3.8547 Å, b = 3.8547 Å, c = 3.8547 Å
α = 90.00°, β = 90.00°, γ = 90.00°
Closest atoms and distances in Å follow each position.
Fractional coordinates of all 5 atoms:
Li1 0.0000 0.5000 0.0000  2 N 1.93
Li2 0.5000 0.0000 0.0000  2 N 1.93
Li3 0.0000 0.0000 0.5000  2 N 1.93
Mo1 0.5000 0.5000 0.5000  12 Li 2.73
N1 0.0000 0.0000 0.0000  6 Li 1.93

Properties
* SG: Pm-3m (221)
* magnetization: 0.0 μB/cell
* crystal system: cubic

---

Q.
Computed, not measured: a geometry-optimized Li3MoN structure at the PBE level of DFT.

a = 5.1225 Å, b = 5.1225 Å, c = 5.1225 Å
α = 90.00°, β = 90.00°, γ = 90.00°
Closest atoms and distances in Å follow each position.
Fractional coordinates of all 5 atoms:
N1 0.5000 0.5000 0.5000  12 Li 3.62
Mo1 0.0000 0.0000 0.0000  6 Li 2.56
Li1 0.0000 0.5000 0.0000  2 Mo 2.56
Li2 0.0000 0.0000 0.5000  2 Mo 2.56
Li3 0.5000 0.0000 0.0000  2 Mo 2.56

Properties
* SG: Pm-3m (221)
* magnetization: 6.0 μB/cell
* crystal system: cubic

---

List of relative energies, unit eV/atom: P 0.000; Q 1.325

---

P.
Computed, not measured: a geometry-optimized LiMoN2 structure at the PBE level of DFT.

a = 2.9632 Å, b = 2.9632 Å, c = 5.4569 Å
α = 74.26°, β = 74.26°, γ = 59.99°
Closest atoms and distances in Å follow each position.
Fractional coordinates of all 4 atoms:
Li1 0.5000 0.5000 0.5000  6 N 2.21
N1 0.2564 0.2564 0.2309  3 Mo 2.09, 3 Li 2.21
N2 0.7436 0.7436 0.7691  3 Mo 2.09, 3 Li 2.21
Mo1 0.0000 0.0000 0.0000  6 N 2.09

Properties
* SG: R-3m (166)
* magnetization: 0.0 μB/cell
* crystal system: trigonal

---

Q.
Computed, not measured: a geometry-optimized LiMoN2 structure at the PBE level of DFT.

a = 5.6000 Å, b = 5.6000 Å, c = 5.6000 Å
α = 30.20°, β = 30.20°, γ = 30.20°
Closest atoms and distances in Å follow each position.
Fractional coordinates of all 4 atoms:
N1 0.9966 0.9966 0.9966  3 Mo 2.09, 3 Li 2.15
N2 0.8431 0.8431 0.8431  3 Mo 2.08, 3 Li 2.29
Mo1 0.5858 0.5858 0.5858  6 N 2.08-2.09
Li1 0.4132 0.4132 0.4132  6 N 2.15-2.29

Properties
* SG: R3m (160)
* magnetization: 0.0 μB/cell
* crystal system: trigonal

---

List of relative energies, unit eV/atom: P 0.056; Q 0.000

---

P.
Computed, not measured: a geometry-optimized LiMoN2 structure at the PBE level of DFT.

a = 3.6533 Å, b = 3.6533 Å, c = 3.6533 Å
α = 60.00°, β = 60.00°, γ = 60.00°
Closest atoms and distances in Å follow each position.
Fractional coordinates of all 4 atoms:
N1 0.2500 0.2500 0.2500  4 Mo 2.24, 4 Li 2.24
N2 0.7500 0.7500 0.7500  4 Mo 2.24, 4 Li 2.24
Li1 0.0000 0.0000 0.0000  8 N 2.24
Mo1 0.5000 0.5000 0.5000  8 N 2.24

Properties
* SG: Fm-3m (225)
* magnetization: 1.1 μB/cell
* crystal system: cubic

---

Q.
Computed, not measured: a geometry-optimized LiMoN2 structure at the PBE level of DFT.

a = 4.6907 Å, b = 4.6907 Å, c = 5.7069 Å
α = 65.73°, β = 65.73°, γ = 90.00°
Closest atoms and distances in Å follow each position.
Fractional coordinates of all 8 atoms:
N1 0.8750 0.9192 0.7500  2 Mo 1.91
N2 0.3750 0.3308 0.7500  2 Mo 1.91
N3 0.6692 0.1250 0.2500  2 Mo 1.91
N4 0.0808 0.6250 0.2500  2 Mo 1.91
Mo1 0.0000 0.0000 0.0000  4 N 1.91
Mo2 0.7500 0.2500 0.5000  4 N 1.91
Li1 0.5000 0.5000 0.0000  4 N 2.15
Li2 0.2500 0.7500 0.5000  4 N 2.15

Properties
* SG: I-42d (122)
* magnetization: 0.0 μB/cell
* crystal system: tetragonal

---

List of relative energies, unit eV/atom: P 0.648; Q 0.000

---

P.
Computed, not measured: a geometry-optimized LiMoSN2 structure at the PBE level of DFT.

a = 3.6124 Å, b = 3.6124 Å, c = 4.2949 Å
α = 90.00°, β = 90.00°, γ = 90.00°
Closest atoms and distances in Å follow each position.
Fractional coordinates of all 5 atoms:
Li1 0.0000 0.0000 0.0000  4 N 1.81
N1 0.5000 0.0000 0.0000  2 Li 1.81
N2 0.0000 0.5000 0.0000  2 Li 1.81
S1 0.0000 0.0000 0.5000  2 Li 2.15
Mo1 0.5000 0.5000 0.5000  4 S 2.55, 8 N 2.81

Properties
* SG: P4/mmm (123)
* magnetization: 1.2 μB/cell
* crystal system: tetragonal

---

Q.
Computed, not measured: a geometry-optimized LiMoSN2 structure at the PBE level of DFT.

a = 3.8853 Å, b = 3.8853 Å, c = 5.0185 Å
α = 90.00°, β = 90.00°, γ = 90.00°
Closest atoms and distances in Å follow each position.
Fractional coordinates of all 5 atoms:
N1 0.0000 0.5000 0.0000  2 Mo 1.94
N2 0.5000 0.0000 0.0000  2 Mo 1.94
Mo1 0.0000 0.0000 0.0000  4 N 1.94
S1 0.0000 0.0000 0.5000  2 Mo 2.51, 4 Li 2.75
Li1 0.5000 0.5000 0.5000  4 S 2.75

Properties
* SG: P4/mmm (123)
* magnetization: 0.5 μB/cell
* crystal system: tetragonal

---

List of relative energies, unit eV/atom: P 1.478; Q 0.000

---

P.
Computed, not measured: a geometry-optimized LiSnMo2N structure at the PBE level of DFT.

a = 4.1267 Å, b = 4.1267 Å, c = 4.2244 Å
α = 90.00°, β = 90.00°, γ = 90.00°
Closest atoms and distances in Å follow each position.
Fractional coordinates of all 5 atoms:
Sn1 0.5000 0.5000 0.5000  4 Li 2.92, 8 Mo 2.95
Mo1 0.0000 0.5000 0.0000  2 N 2.06
Mo2 0.5000 0.0000 0.0000  2 N 2.06
Li1 0.0000 0.0000 0.5000  2 N 2.11
N1 0.0000 0.0000 0.0000  4 Mo 2.06, 2 Li 2.11

Properties
* SG: P4/mmm (123)
* magnetization: 0.0 μB/cell
* crystal system: tetragonal

---

Q.
Computed, not measured: a geometry-optimized LiSnMo2N structure at the PBE level of DFT.

a = 5.2797 Å, b = 4.9362 Å, c = 5.2797 Å
α = 90.00°, β = 90.00°, γ = 90.00°
Closest atoms and distances in Å follow each position.
Fractional coordinates of all 5 atoms:
N1 0.5000 0.5000 0.5000  8 Mo 3.61, 4 Li 3.73
Li1 0.0000 0.5000 0.0000  2 Sn 2.47
Sn1 0.0000 0.0000 0.0000  2 Li 2.47, 4 Mo 2.64
Mo1 0.5000 0.0000 0.0000  2 Sn 2.64
Mo2 0.0000 0.0000 0.5000  2 Sn 2.64

Properties
* SG: P4/mmm (123)
* magnetization: 5.7 μB/cell
* crystal system: tetragonal

---

List of relative energies, unit eV/atom: P 0.000; Q 2.608